[1]
Computed, not measured: an optimized crystal structure of DyErCuGe at the PBE level of DFT.

Cell lengths 4.946, 4.946, 4.946 Å; angles 60.00, 60.00, 60.00 degrees
Fractional positions:
Dy  0.000  0.000  0.000
Er  0.500  0.500  0.500
Cu  0.750  0.750  0.750
Ge  0.250  0.250  0.250

Summary:
crystal system = cubic
E_form = -0.499 eV per atom
ρ = 9.045 Mg/m³



[2]
Computed, not measured: an optimized crystal structure of CdAg6S4 at the PBE level of DFT.

Cell lengths 6.926, 6.926, 6.926 Å; angles 122.12, 122.12, 86.36 degrees
Fractional positions:
Cd  0.000  0.000  0.000
Ag  0.000  0.500  0.500
Ag  0.202  0.509  0.000
Ag  0.491  0.491  0.693
Ag  0.500  0.000  0.500
Ag  0.509  0.202  0.000
Ag  0.798  0.798  0.307
S  0.126  0.126  0.498
S  0.372  0.874  0.000
S  0.628  0.628  0.502
S  0.874  0.372  0.000

Summary:
crystal system = tetragonal
raw formation energy = -0.048 eV per atom
ρ = 6.498 Mg/m³



[3]
Computed, not measured: an optimized crystal structure of NaPm2PrHg4 at the PBE level of DFT.

Cell lengths 9.398, 9.398, 9.398 Å; angles 32.90, 32.90, 32.90 degrees
Fractional positions:
Na  0.000  0.000  0.000
Pm  0.255  0.255  0.255
Pm  0.745  0.745  0.745
Pr  0.500  0.500  0.500
Hg  0.124  0.124  0.124
Hg  0.374  0.374  0.374
Hg  0.626  0.626  0.626
Hg  0.876  0.876  0.876

Summary:
crystal system = trigonal
E_form = -0.418 eV per atom
ρ = 9.573 Mg/m³



[4]
Computed, not measured: an optimized crystal structure of LaP3F at the PBE level of DFT.

Cell lengths 4.516, 4.516, 4.516 Å; angles 90.00, 90.00, 90.00 degrees
Fractional positions:
La  0.000  0.000  0.000
P  0.000  0.500  0.500
P  0.500  0.000  0.500
P  0.500  0.500  0.000
F  0.500  0.500  0.500

Summary:
crystal system = cubic
distance to the lowest polymorph of the same formula = 0 meV/atom
raw formation energy = -0.386 eV per atom
ρ = 4.523 Mg/m³



[5]
Computed, not measured: an optimized crystal structure of BeReAu at the PBE level of DFT.

Cell lengths 2.750, 2.750, 6.471 Å; angles 90.00, 90.00, 120.00 degrees
Fractional positions:
Be  0.000  0.000  0.000
Re  0.667  0.333  0.300
Au  0.333  0.667  0.692

Summary:
crystal system = trigonal
distance to the lowest polymorph of the same formula = 5 meV/atom
E_form = 0.246 eV per atom
ρ = 15.367 Mg/m³



[6]
Computed, not measured: an optimized crystal structure of YH3Rh at the PBE level of DFT.

Cell lengths 6.409, 5.253, 7.372 Å; angles 90.00, 125.03, 90.00 degrees
Fractional positions:
Y  0.225  0.250  0.112
Y  0.225  0.250  0.612
Y  0.775  0.750  0.388
Y  0.775  0.750  0.888
H  0.030  0.006  0.266
H  0.030  0.494  0.766
H  0.262  0.749  0.630
H  0.262  0.751  0.130
H  0.405  0.162  0.952
H  0.405  0.338  0.452
H  0.595  0.662  0.548
H  0.595  0.838  0.048
H  0.738  0.249  0.870
H  0.738  0.251  0.370
H  0.970  0.506  0.234
H  0.970  0.994  0.734
Rh  0.263  0.689  0.380
Rh  0.263  0.811  0.880
Rh  0.737  0.189  0.120
Rh  0.737  0.311  0.620

Summary:
electronic total energy = -105.15 eV/cell
crystal system = monoclinic
ρ = 6.368 Mg/m³



[7]
Computed, not measured: an optimized crystal structure of AcPaCoS4 at the PBE level of DFT.

Cell lengths 6.368, 5.880, 8.136 Å; angles 90.00, 106.79, 90.00 degrees
Fractional positions:
Ac  0.241  0.250  0.437
Ac  0.759  0.750  0.563
Pa  0.251  0.250  0.945
Pa  0.749  0.750  0.055
Co  0.266  0.750  0.165
Co  0.734  0.250  0.835
S  0.074  0.750  0.903
S  0.076  0.750  0.360
S  0.481  0.509  0.767
S  0.481  0.991  0.767
S  0.519  0.009  0.233
S  0.519  0.491  0.233
S  0.924  0.250  0.640
S  0.926  0.250  0.097

Summary:
crystal system = monoclinic
raw formation energy = -1.490 eV per atom
ρ = 7.347 Mg/m³



[8]
Computed, not measured: an optimized crystal structure of InSb2MoI at the PBE level of DFT.

Cell lengths 5.197, 5.197, 6.083 Å; angles 90.00, 90.00, 90.00 degrees
Fractional positions:
In  0.000  0.000  0.000
Sb  0.000  0.500  0.500
Sb  0.500  0.000  0.500
Mo  0.500  0.500  0.500
I  0.500  0.500  0.000

Summary:
crystal system = tetragonal
distance to the lowest polymorph of the same formula = 0 meV/atom
raw formation energy = 0.366 eV per atom
ρ = 5.874 Mg/m³



- The highest ρ belongs to which entry?
  BeReAu